A relaxed Y2TiNiO6 crystal, computed with GGA+U.

Geometry as CIF:
```
data_Y2TiNiO6
_chemical_formula_sum 'Y4 Ti2 Ni2 O12'
_space_group_name_H-M_alt 'P 1 21/c 1'
_space_group_IT_number 14
_cell_length_a 5.319
_cell_length_b 5.648
_cell_length_c 9.288
_cell_angle_alpha 90.00
_cell_angle_beta 124.23
_cell_angle_gamma 90.00
loop_
_space_group_symop_operation_xyz
'x,y,z'
'-x,-y,-z'
'-x,y+1/2,-z+1/2'
'x,-y+1/2,z+1/2'
loop_
_atom_site_label
_atom_site_fract_x
_atom_site_fract_y
_atom_site_fract_z
_atom_site_occupancy
Y1 0.228 0.070 0.248 1
Ti1 0.500 0.000 0.000 1
Ni1 0.000 0.000 0.500 1
O1 0.145 0.187 0.945 1
O2 0.254 0.705 0.938 1
O3 0.372 0.043 0.757 1
```

Computed properties:
For the total magnetization, the calculation gives 4.0 μB/cell. The crystal system is monoclinic. For the electronic total energy, the calculation gives -165.047 eV per cell. The calculation puts the density of states at the Fermi level at 0.00 states/eV per cell.